# RbNpCr2O8

A relaxed RbNpCr2O8 crystal (PBE with a Hubbard U, Alexandria).

Lattice parameters (Å, degrees): 5.5055 5.5055 8.3921 86.47 86.47 64.36
Atoms (fractional coordinates):
Rb: 0.0000 0.0000 0.5000
Np: 0.0000 0.0000 0.0000
Cr: 0.6336 0.6336 0.2182
Cr: 0.3664 0.3664 0.7818
O: 0.7166 0.2153 0.8245
O: 0.7887 0.7887 0.0738
O: 0.6852 0.6852 0.4001
O: 0.3148 0.3148 0.5999
O: 0.2113 0.2113 0.9262
O: 0.2153 0.7166 0.8245
O: 0.7847 0.2834 0.1755
O: 0.2834 0.7847 0.1755

Results
DFT total energy (eV per cell): -91.30
Space-group type: No. 12
DOS at the Fermi energy (states/eV per atom): 0.503